A relaxed structure of Pr3NdP. Source: Alexandria via LeMat-Bulk, functional PBE.

- energy of formation from the pure elements (eV per atom) = -0.384
- total magnetization (μB per atom) = 0.000
- volume (Å³/cell) = 180.5
- E_tot (eV for the cell shown) = -26.44
- theoretical density (Mg/m³) = 5.5
- Fermi-level density of states (states/eV per cell) = 8.95

Geometry as POSCAR:
```
Pr3NdP
1.0
5.6516 0.0000 0.0000
0.0000 5.6516 0.0000
0.0000 0.0000 5.6516
Pr Nd P
3 1 1
direct
0.0000 0.0000 0.5000
0.0000 0.5000 0.0000
0.5000 0.0000 0.0000
0.5000 0.5000 0.5000
0.0000 0.0000 0.0000
```


A relaxed structure of Pr3Nd5P8. Source: Alexandria via LeMat-Bulk, functional PBE.

- energy of formation from the pure elements (eV per atom) = -1.530
- total magnetization (μB per atom) = 0.000
- volume (Å³/cell) = 413.7
- E_tot (eV for the cell shown) = -105.94
- theoretical density (Mg/m³) = 5.6
- Fermi-level density of states (states/eV per cell) = 2.82

Geometry as POSCAR:
```
Pr3Nd5P8
1.0
4.1817 2.4143 6.8288
-4.1817 2.4143 6.8288
0.0000 -4.8286 6.8288
Pr Nd P
3 5 8
direct
0.0000 0.5000 0.5000
0.5000 0.0000 0.5000
0.5000 0.5000 0.0000
0.0000 0.0000 0.0000
0.0000 0.0000 0.5000
0.0000 0.5000 0.0000
0.5000 0.0000 0.0000
0.5000 0.5000 0.5000
0.2493 0.2493 0.2493
0.2486 0.7500 0.7500
0.2500 0.2500 0.7514
0.2500 0.7514 0.2500
0.7500 0.2486 0.7500
0.7500 0.7500 0.2486
0.7514 0.2500 0.2500
0.7507 0.7507 0.7507
```


A relaxed structure of PrNd3P4. Source: Alexandria via LeMat-Bulk, functional PBE.

- energy of formation from the pure elements (eV per atom) = -1.533
- total magnetization (μB per atom) = 0.000
- volume (Å³/cell) = 206.2
- E_tot (eV for the cell shown) = -52.99
- theoretical density (Mg/m³) = 5.6
- Fermi-level density of states (states/eV per cell) = 0.69
- offset from the most stable computed form (meV/atom) = 2.1

Geometry as POSCAR:
```
PrNd3P4
1.0
4.1772 -5.9044 0.0000
4.1772 5.9044 0.0000
0.0000 0.0000 4.1796
Pr Nd P
1 3 4
direct
0.0000 0.0000 0.0000
0.0000 0.5000 0.5000
0.5000 0.0000 0.5000
0.5000 0.5000 0.0000
0.2515 0.2515 0.5000
0.2506 0.7494 0.0000
0.7494 0.2506 0.0000
0.7485 0.7485 0.5000
```


A relaxed structure of Pr3NdP4. Source: Alexandria via LeMat-Bulk, functional PBE.

- energy of formation from the pure elements (eV per atom) = -1.525
- total magnetization (μB per atom) = 0.000
- volume (Å³/cell) = 208.7
- E_tot (eV for the cell shown) = -52.94
- theoretical density (Mg/m³) = 5.5
- Fermi-level density of states (states/eV per cell) = 1.08

Geometry as POSCAR:
```
Pr3NdP4
1.0
5.9316 0.0000 0.0000
0.0000 5.9316 0.0000
0.0000 0.0000 5.9316
Pr Nd P
3 1 4
direct
0.0000 0.0000 0.5000
0.0000 0.5000 0.0000
0.5000 0.0000 0.0000
0.5000 0.5000 0.5000
0.0000 0.0000 0.0000
0.0000 0.5000 0.5000
0.5000 0.0000 0.5000
0.5000 0.5000 0.0000
```


A relaxed structure of Pr2NdPuP4. Source: Alexandria via LeMat-Bulk, functional PBE.

- energy of formation from the pure elements (eV per atom) = -1.413
- total magnetization (μB per atom) = 0.609
- volume (Å³/cell) = 200.9
- E_tot (eV for the cell shown) = -61.60
- theoretical density (Mg/m³) = 6.6
- Fermi-level density of states (states/eV per cell) = 12.88

Geometry as POSCAR:
```
Pr2NdPuP4
1.0
7.1663 0.0000 0.0000
0.0000 4.1478 0.0000
-2.3892 0.0000 6.7585
Pr Nd Pu P
2 1 1 4
direct
0.0000 0.0000 0.0000
0.5000 0.5000 0.0000
0.0000 0.5000 0.5000
0.5000 0.0000 0.5000
0.2545 0.0000 0.7425
0.2612 0.5000 0.2627
0.7388 0.5000 0.7373
0.7455 0.0000 0.2575
```


A relaxed structure of PrNdP2Rh5. Source: Alexandria via LeMat-Bulk, functional PBE.

- energy of formation from the pure elements (eV per atom) = -0.740
- total magnetization (μB per atom) = 0.000
- volume (Å³/cell) = 181.1
- E_tot (eV for the cell shown) = -63.79
- theoretical density (Mg/m³) = 7.9
- Fermi-level density of states (states/eV per cell) = 4.66

Geometry as POSCAR:
```
PrNdP2Rh5
1.0
4.0815 0.0000 0.0000
0.0000 4.0815 0.0000
0.0000 0.0000 10.8706
Pr Nd P Rh
1 1 2 5
direct
0.0000 0.0000 0.0000
0.0000 0.0000 0.5000
0.5000 0.5000 0.2089
0.5000 0.5000 0.7911
0.0000 0.5000 0.2983
0.0000 0.5000 0.7017
0.5000 0.0000 0.2983
0.5000 0.0000 0.7017
0.5000 0.5000 0.0000
```


A relaxed structure of PrNd2ScP4. Source: Alexandria via LeMat-Bulk, functional PBE.

- energy of formation from the pure elements (eV per atom) = -1.464
- total magnetization (μB per atom) = 0.000
- volume (Å³/cell) = 192.7
- E_tot (eV for the cell shown) = -54.00
- theoretical density (Mg/m³) = 5.2
- Fermi-level density of states (states/eV per cell) = 0.46

Geometry as POSCAR:
```
PrNd2ScP4
1.0
7.0658 0.0000 0.0000
0.0000 4.0923 0.0000
-2.3550 0.0000 6.6641
Pr Nd Sc P
1 2 1 4
direct
0.0000 0.0000 0.0000
0.0000 0.5000 0.5000
0.5000 0.0000 0.5000
0.5000 0.5000 0.0000
0.2595 0.5000 0.2434
0.2663 0.0000 0.7649
0.7337 0.0000 0.2351
0.7405 0.5000 0.7566
```


A relaxed structure of Pr2NdScP4. Source: Alexandria via LeMat-Bulk, functional PBE.

- energy of formation from the pure elements (eV per atom) = -1.461
- total magnetization (μB per atom) = 0.000
- volume (Å³/cell) = 193.9
- E_tot (eV for the cell shown) = -53.98
- theoretical density (Mg/m³) = 5.1
- Fermi-level density of states (states/eV per cell) = 0.48

Geometry as POSCAR:
```
Pr2NdScP4
1.0
7.0803 0.0000 0.0000
0.0000 4.1009 0.0000
-2.3609 0.0000 6.6771
Pr Nd Sc P
2 1 1 4
direct
0.0000 0.0000 0.0000
0.0000 0.5000 0.5000
0.5000 0.0000 0.5000
0.5000 0.5000 0.0000
0.2602 0.5000 0.2427
0.2678 0.0000 0.7664
0.7322 0.0000 0.2336
0.7398 0.5000 0.7573
```


A relaxed structure of PrNd3Sm2P6. Source: Alexandria via LeMat-Bulk, functional PBE.

- energy of formation from the pure elements (eV per atom) = -1.544
- total magnetization (μB per atom) = 0.000
- volume (Å³/cell) = 304.2
- E_tot (eV for the cell shown) = -79.51
- theoretical density (Mg/m³) = 5.8
- Fermi-level density of states (states/eV per cell) = 1.37

Geometry as POSCAR:
```
PrNd3Sm2P6
1.0
3.5976 -6.2304 0.0000
3.5976 6.2304 0.0000
-2.3958 0.0000 6.7850
Pr Nd Sm P
1 3 2 6
direct
0.0000 0.0000 0.0000
0.1662 0.8338 0.5000
0.5000 0.5000 0.5000
0.8338 0.1662 0.5000
0.3332 0.6668 0.0000
0.6668 0.3332 0.0000
0.0828 0.4192 0.2485
0.2536 0.2536 0.7518
0.4192 0.0828 0.2485
0.5808 0.9172 0.7515
0.7464 0.7464 0.2482
0.9172 0.5808 0.7515
```


A relaxed structure of PrNd2Sm3P6. Source: Alexandria via LeMat-Bulk, functional PBE.

- energy of formation from the pure elements (eV per atom) = -1.550
- total magnetization (μB per atom) = 0.000
- volume (Å³/cell) = 301.9
- E_tot (eV for the cell shown) = -79.53
- theoretical density (Mg/m³) = 5.9
- Fermi-level density of states (states/eV per cell) = 1.69

Geometry as POSCAR:
```
PrNd2Sm3P6
1.0
9.0290 -2.0730 0.0000
9.0290 2.0730 0.0000
-1.9026 0.0000 8.0651
Pr Nd Sm P
1 2 3 6
direct
0.0000 0.0000 0.0000
0.3331 0.3331 0.6665
0.6669 0.6669 0.3335
0.0000 0.0000 0.5000
0.3333 0.3333 0.1670
0.6667 0.6667 0.8330
0.1659 0.1659 0.5851
0.1680 0.1680 0.0816
0.4993 0.4993 0.2535
0.5007 0.5007 0.7465
0.8320 0.8320 0.9184
0.8341 0.8341 0.4149
```


A relaxed structure of Tb3Pr2NdP6. Source: Alexandria via LeMat-Bulk, functional PBE.

- energy of formation from the pure elements (eV per atom) = -1.560
- total magnetization (μB per atom) = 0.000
- volume (Å³/cell) = 294.7
- E_tot (eV for the cell shown) = -79.40
- theoretical density (Mg/m³) = 6.1
- Fermi-level density of states (states/eV per cell) = 1.71

Geometry as POSCAR:
```
Tb3Pr2NdP6
1.0
8.9563 -2.0564 0.0000
8.9563 2.0564 0.0000
-1.8828 0.0000 8.0005
Tb Pr Nd P
3 2 1 6
direct
0.0000 0.0000 0.0000
0.3333 0.3333 0.6666
0.6667 0.6667 0.3334
0.3335 0.3335 0.1671
0.6665 0.6665 0.8329
0.0000 0.0000 0.5000
0.1643 0.1643 0.0891
0.1684 0.1684 0.5770
0.4976 0.4976 0.7543
0.5024 0.5024 0.2457
0.8316 0.8316 0.4230
0.8357 0.8357 0.9109
```


A relaxed structure of TbPrNd2P4. Source: Alexandria via LeMat-Bulk, functional PBE.

- energy of formation from the pure elements (eV per atom) = -1.543
- total magnetization (μB per atom) = 0.000
- volume (Å³/cell) = 201.2
- E_tot (eV for the cell shown) = -52.93
- theoretical density (Mg/m³) = 5.9
- Fermi-level density of states (states/eV per cell) = 0.62

Geometry as POSCAR:
```
TbPrNd2P4
1.0
7.1742 0.0000 0.0000
0.0000 4.1459 0.0000
-2.3887 0.0000 6.7650
Tb Pr Nd P
1 1 2 4
direct
0.0000 0.0000 0.0000
0.5000 0.5000 0.0000
0.0000 0.5000 0.5000
0.5000 0.0000 0.5000
0.2438 0.5000 0.2452
0.2457 0.0000 0.7514
0.7543 0.0000 0.2486
0.7562 0.5000 0.7548
```


A relaxed structure of Tb3PrNd2P6. Source: Alexandria via LeMat-Bulk, functional PBE.

- energy of formation from the pure elements (eV per atom) = -1.565
- total magnetization (μB per atom) = 0.000
- volume (Å³/cell) = 293.4
- E_tot (eV for the cell shown) = -79.45
- theoretical density (Mg/m³) = 6.2
- Fermi-level density of states (states/eV per cell) = 1.52

Geometry as POSCAR:
```
Tb3PrNd2P6
1.0
3.5551 -6.1565 0.0000
3.5551 6.1565 0.0000
-2.3671 0.0000 6.7025
Tb Pr Nd P
3 1 2 6
direct
0.0000 0.0000 0.0000
0.3335 0.6665 0.0000
0.6665 0.3335 0.0000
0.5000 0.5000 0.5000
0.1667 0.8333 0.5000
0.8333 0.1667 0.5000
0.0792 0.4137 0.2410
0.2519 0.2519 0.7591
0.4137 0.0792 0.2410
0.5863 0.9208 0.7590
0.7481 0.7481 0.2409
0.9208 0.5863 0.7590
```


A relaxed structure of Tb2PrNd3P6. Source: Alexandria via LeMat-Bulk, functional PBE.

- energy of formation from the pure elements (eV per atom) = -1.551
- total magnetization (μB per atom) = 0.000
- volume (Å³/cell) = 298.6
- E_tot (eV for the cell shown) = -79.41
- theoretical density (Mg/m³) = 6.0
- Fermi-level density of states (states/eV per cell) = 1.43

Geometry as POSCAR:
```
Tb2PrNd3P6
1.0
3.5754 -6.1921 0.0000
3.5754 6.1921 0.0000
-2.3820 0.0000 6.7431
Tb Pr Nd P
2 1 3 6
direct
0.1670 0.8330 0.0000
0.8330 0.1670 0.0000
0.5000 0.5000 0.0000
0.0000 0.0000 0.5000
0.3342 0.6658 0.5000
0.6658 0.3342 0.5000
0.0793 0.4182 0.7546
0.2426 0.2426 0.2447
0.4182 0.0793 0.7546
0.5818 0.9207 0.2454
0.7574 0.7574 0.7553
0.9207 0.5818 0.2454
```


A relaxed structure of PrNdTeP. Source: Alexandria via LeMat-Bulk, functional PBE.

- uncorrected formation energy (eV per atom) = -1.535
- total magnetization (μB per atom) = 0.000
- volume (Å³/cell) = 117.1
- E_tot (eV for the cell shown) = -24.24
- theoretical density (Mg/m³) = 6.3
- Fermi-level density of states (states/eV per cell) = 2.81

Geometry as POSCAR:
```
PrNdTeP
1.0
2.1162 1.2218 7.5512
-2.1162 1.2218 7.5512
0.0000 -2.4435 7.5512
Pr Nd Te P
1 1 1 1
direct
0.0000 0.0000 0.0000
0.1924 0.1924 0.1924
0.4297 0.4297 0.4297
0.5968 0.5968 0.5968
```


A relaxed structure of Pr3NdTh2P6. Source: Alexandria via LeMat-Bulk, functional PBE.

- energy of formation from the pure elements (eV per atom) = -1.564
- total magnetization (μB per atom) = 0.000
- volume (Å³/cell) = 309.2
- E_tot (eV for the cell shown) = -85.18
- theoretical density (Mg/m³) = 6.5
- Fermi-level density of states (states/eV per cell) = 2.43

Geometry as POSCAR:
```
Pr3NdTh2P6
1.0
3.6168 -6.2701 0.0000
3.6168 6.2701 0.0000
-2.4095 0.0000 6.8180
Pr Nd Th P
3 1 2 6
direct
0.0000 0.0000 0.0000
0.3343 0.6657 0.0000
0.6657 0.3343 0.0000
0.5000 0.5000 0.5000
0.1669 0.8331 0.5000
0.8331 0.1669 0.5000
0.0820 0.4186 0.2560
0.2445 0.2445 0.7441
0.4186 0.0820 0.2560
0.5814 0.9180 0.7440
0.7555 0.7555 0.2559
0.9180 0.5814 0.7440
```


A relaxed structure of PrNd2ThP4. Source: Alexandria via LeMat-Bulk, functional PBE.

- energy of formation from the pure elements (eV per atom) = -1.566
- total magnetization (μB per atom) = 0.000
- volume (Å³/cell) = 205.0
- E_tot (eV for the cell shown) = -55.90
- theoretical density (Mg/m³) = 6.4
- Fermi-level density of states (states/eV per cell) = 1.55

Geometry as POSCAR:
```
PrNd2ThP4
1.0
7.2157 0.0000 0.0000
0.0000 4.1723 0.0000
-2.4025 0.0000 6.8096
Pr Nd Th P
1 2 1 4
direct
0.0000 0.0000 0.0000
0.5000 0.0000 0.5000
0.5000 0.5000 0.0000
0.0000 0.5000 0.5000
0.2472 0.0000 0.7457
0.2490 0.5000 0.2538
0.7510 0.5000 0.7462
0.7528 0.0000 0.2543
```


A relaxed structure of PrNdTh2P4. Source: Alexandria via LeMat-Bulk, functional PBE.

- energy of formation from the pure elements (eV per atom) = -1.561
- total magnetization (μB per atom) = 0.000
- volume (Å³/cell) = 204.2
- E_tot (eV for the cell shown) = -58.51
- theoretical density (Mg/m³) = 7.1
- Fermi-level density of states (states/eV per cell) = 4.03

Geometry as POSCAR:
```
PrNdTh2P4
1.0
7.2068 0.0000 0.0000
0.0000 4.1680 0.0000
-2.4170 0.0000 6.7994
Pr Nd Th P
1 1 2 4
direct
0.0000 0.0000 0.0000
0.0000 0.5000 0.5000
0.5000 0.0000 0.5000
0.5000 0.5000 0.0000
0.2556 0.0000 0.7509
0.2564 0.5000 0.2530
0.7444 0.0000 0.2491
0.7436 0.5000 0.7470
```


A relaxed structure of Pr4NdTh3P8. Source: Alexandria via LeMat-Bulk, functional PBE.

- energy of formation from the pure elements (eV per atom) = -1.561
- total magnetization (μB per atom) = 0.000
- volume (Å³/cell) = 412.1
- E_tot (eV for the cell shown) = -114.40
- theoretical density (Mg/m³) = 6.7
- Fermi-level density of states (states/eV per cell) = 5.39

Geometry as POSCAR:
```
Pr4NdTh3P8
1.0
4.1765 2.4113 6.8203
-4.1765 2.4113 6.8203
0.0000 -4.8226 6.8203
Pr Nd Th P
4 1 3 8
direct
0.0000 0.0000 0.0000
0.0000 0.5000 0.5000
0.5000 0.0000 0.5000
0.5000 0.5000 0.0000
0.5000 0.5000 0.5000
0.0000 0.0000 0.5000
0.0000 0.5000 0.0000
0.5000 0.0000 0.0000
0.2454 0.7492 0.7492
0.2477 0.2477 0.2477
0.2508 0.2508 0.7546
0.2508 0.7546 0.2508
0.7492 0.2454 0.7492
0.7492 0.7492 0.2454
0.7523 0.7523 0.7523
0.7546 0.2508 0.2508
```


A relaxed structure of PrNd3Th2P6. Source: Alexandria via LeMat-Bulk, functional PBE.

- energy of formation from the pure elements (eV per atom) = -1.570
- total magnetization (μB per atom) = 0.000
- volume (Å³/cell) = 306.5
- E_tot (eV for the cell shown) = -85.23
- theoretical density (Mg/m³) = 6.6
- Fermi-level density of states (states/eV per cell) = 2.42

Geometry as POSCAR:
```
PrNd3Th2P6
1.0
3.6082 -6.2556 0.0000
3.6082 6.2556 0.0000
-2.4032 0.0000 6.7905
Pr Nd Th P
1 3 2 6
direct
0.0000 0.0000 0.0000
0.1655 0.8345 0.5000
0.5000 0.5000 0.5000
0.8345 0.1655 0.5000
0.3331 0.6669 0.0000
0.6669 0.3331 0.0000
0.0825 0.4202 0.2471
0.2557 0.2557 0.7529
0.4202 0.0825 0.2471
0.5798 0.9175 0.7529
0.7443 0.7443 0.2471
0.9175 0.5798 0.7529
```